Entry from the Alexandria database: an optimized crystal structure of Ac4La2Sn3H2 (PBE).

Cell: 13.758 13.758 13.758 Å, 158.45 158.45 30.67°
Atoms (fractional coordinates):
Ac  0.084  0.584  0.500
Ac  0.416  0.916  0.500
Ac  0.584  0.084  0.500
Ac  0.916  0.416  0.500
La  0.201  0.201  0.000
La  0.799  0.799  0.000
Sn  0.324  0.324  0.000
Sn  0.500  0.500  0.000
Sn  0.676  0.676  0.000
H  0.105  0.105  0.000
H  0.895  0.895  0.000

Its crystal system is tetragonal. Its space-group type is No. 139. The density of states at the Fermi level is 12.7 states/eV/cell. As for the total energy: -0.335 Ry per atom.

=====

Entry from the Alexandria database: an optimized crystal structure of Li2Ac4H (PBE).

Cell: 5.248 5.248 16.702 Å, 90.00 90.00 90.00°
Atoms (fractional coordinates):
Li  0.000  0.000  0.123
Li  0.000  0.000  0.877
Li  0.500  0.500  0.377
Li  0.500  0.500  0.623
Ac  0.000  0.000  0.316
Ac  0.000  0.000  0.684
Ac  0.000  0.500  0.000
Ac  0.000  0.500  0.500
Ac  0.500  0.000  0.000
Ac  0.500  0.000  0.500
Ac  0.500  0.500  0.184
Ac  0.500  0.500  0.816
H  0.000  0.000  0.500
H  0.500  0.500  0.000

Its crystal system is tetragonal. Its space-group type is No. 139. The density of states at the Fermi level is 19.2 states/eV/cell. As for the total energy: -0.242 Ry per atom.

=====

Entry from the Alexandria database: an optimized crystal structure of LiAc3H (PBE).

Cell: 5.460 5.460 5.460 Å, 90.00 90.00 90.00°
Atoms (fractional coordinates):
Li  0.000  0.000  0.000
Ac  0.000  0.500  0.500
Ac  0.500  0.000  0.500
Ac  0.500  0.500  0.000
H  0.500  0.500  0.500

Its crystal system is cubic. Its space-group type is No. 221. The density of states at the Fermi level is 5.7 states/eV/cell. As for the total energy: -0.260 Ry per atom.

=====

Entry from the Alexandria database: an optimized crystal structure of Li2AcH6 (PBE).

Cell: 5.745 5.745 5.745 Å, 60.00 60.00 60.00°
Atoms (fractional coordinates):
Li  0.250  0.250  0.250
Li  0.750  0.750  0.750
Ac  0.000  0.000  0.000
H  0.290  0.290  0.710
H  0.290  0.710  0.290
H  0.290  0.710  0.710
H  0.710  0.290  0.290
H  0.710  0.290  0.710
H  0.710  0.710  0.290

Its crystal system is cubic. Its space-group type is No. 225. The density of states at the Fermi level is 2.6 states/eV/cell. The energy above the most stable polymorph in this dataset comes out at 0.661 eV/atom.

=====

Entry from the Alexandria database: an optimized crystal structure of LiAcH (PBE).

Cell: 10.050 4.114 6.878 Å, 90.00 90.00 90.00°
Atoms (fractional coordinates):
Li  0.018  0.250  0.136
Li  0.482  0.750  0.636
Li  0.518  0.250  0.364
Li  0.982  0.750  0.864
Ac  0.173  0.250  0.582
Ac  0.327  0.750  0.082
Ac  0.673  0.250  0.918
Ac  0.827  0.750  0.418
H  0.037  0.750  0.606
H  0.463  0.250  0.106
H  0.537  0.750  0.894
H  0.963  0.250  0.394

Its crystal system is orthorhombic. Its space-group type is No. 62. The density of states at the Fermi level is 9.6 states/eV/cell. The energy above the most stable polymorph in this dataset comes out at 0.000 eV/atom.

=====

Entry from the Alexandria database: an optimized crystal structure of Li3Ac5H12 (PBE).

Cell: 11.963 11.963 11.963 Å, 109.47 109.47 109.47°
Atoms (fractional coordinates):
Li  0.125  0.250  0.375
Li  0.125  0.375  0.750
Li  0.250  0.375  0.125
Li  0.250  0.875  0.625
Li  0.375  0.125  0.250
Li  0.375  0.750  0.125
Li  0.625  0.250  0.875
Li  0.625  0.875  0.750
Li  0.750  0.125  0.375
Li  0.750  0.625  0.875
Li  0.875  0.625  0.250
Li  0.875  0.750  0.625
Ac  0.000  0.000  0.000
Ac  0.000  0.000  0.500
Ac  0.000  0.500  0.000
Ac  0.000  0.500  0.500
Ac  0.125  0.750  0.875
Ac  0.125  0.875  0.250
Ac  0.250  0.125  0.875
Ac  0.250  0.625  0.375
Ac  0.375  0.250  0.625
Ac  0.375  0.625  0.750
Ac  0.500  0.000  0.000
Ac  0.500  0.000  0.500
Ac  0.500  0.500  0.000
Ac  0.500  0.500  0.500
Ac  0.625  0.375  0.250
Ac  0.625  0.750  0.375
Ac  0.750  0.375  0.625
Ac  0.750  0.875  0.125
Ac  0.875  0.125  0.750
Ac  0.875  0.250  0.125
H  0.048  0.647  0.232
H  0.048  0.901  0.816
H  0.086  0.184  0.732
H  0.086  0.401  0.353
H  0.099  0.184  0.952
H  0.099  0.414  0.147
H  0.147  0.099  0.414
H  0.147  0.548  0.732
H  0.184  0.732  0.086
H  0.184  0.952  0.099
H  0.232  0.048  0.647
H  0.232  0.684  0.586
H  0.268  0.853  0.452
H  0.268  0.914  0.816
H  0.316  0.401  0.548
H  0.316  0.414  0.768
H  0.353  0.086  0.401
H  0.353  0.768  0.952
H  0.401  0.353  0.086
H  0.401  0.548  0.316
H  0.414  0.147  0.099
H  0.414  0.768  0.316
H  0.452  0.268  0.853
H  0.452  0.684  0.599
H  0.548  0.316  0.401
H  0.548  0.732  0.147
H  0.586  0.232  0.684
H  0.586  0.853  0.901
H  0.599  0.452  0.684
H  0.599  0.647  0.914
H  0.647  0.232  0.048
H  0.647  0.914  0.599
H  0.684  0.586  0.232
H  0.684  0.599  0.452
H  0.732  0.086  0.184
H  0.732  0.147  0.548
H  0.768  0.316  0.414
H  0.768  0.952  0.353
H  0.816  0.048  0.901
H  0.816  0.268  0.914
H  0.853  0.452  0.268
H  0.853  0.901  0.586
H  0.901  0.586  0.853
H  0.901  0.816  0.048
H  0.914  0.599  0.647
H  0.914  0.816  0.268
H  0.952  0.099  0.184
H  0.952  0.353  0.768

Its crystal system is cubic. Its space-group type is No. 230. The density of states at the Fermi level is 16.3 states/eV/cell. As for the total energy: -0.270 Ry per atom.